The following is a PBE calculation of Sr2Ge7Au12 after structural relaxation, from Alexandria.

Geometry as POSCAR:
```
Sr2Ge7Au12
1.0
10.167 0.000 0.000
-5.084 8.805 0.000
0.000 0.000 4.870
Sr Ge Au
2 7 12
direct
0.333 0.667 0.276
0.667 0.333 0.724
0.000 0.000 0.000
0.111 0.727 0.830
0.273 0.384 0.830
0.384 0.111 0.170
0.616 0.889 0.830
0.727 0.616 0.170
0.889 0.273 0.170
0.060 0.456 0.732
0.126 0.261 0.323
0.135 0.874 0.323
0.261 0.135 0.677
0.396 0.940 0.732
0.456 0.396 0.268
0.544 0.604 0.732
0.604 0.060 0.268
0.739 0.865 0.323
0.865 0.126 0.677
0.874 0.739 0.677
0.940 0.544 0.268
```

Properties
symmetry	P-3 (147)
E_tot	-3.81	eV/atom
calculated volume	436.0	Å³/cell

---

The following is a PBE calculation of Sr3Ge3Au8 after structural relaxation, from Alexandria.

Geometry as POSCAR:
```
Sr3Ge3Au8
1.0
8.444 -2.346 0.000
8.444 2.346 0.000
-5.048 0.000 7.907
Sr Ge Au
3 3 8
direct
0.000 0.000 0.000
0.295 0.295 0.275
0.705 0.705 0.725
0.000 0.000 0.500
0.330 0.330 0.677
0.670 0.670 0.323
0.122 0.122 0.838
0.141 0.141 0.422
0.349 0.349 0.970
0.490 0.490 0.676
0.510 0.510 0.324
0.651 0.651 0.030
0.859 0.859 0.578
0.878 0.878 0.162
```

Properties
symmetry	C2/m (12)
E_tot	-3.73	eV/atom
calculated volume	313.2	Å³/cell

---

Result set for total magnetization: 0.0, 0.0 Bohr magnetons per cell, one per record in the order listed.